PBE-GGA ErAlPt, relaxed; space-group type = P2_1/m, No. 11
1.0
-3.821 -1.819 0.455
2.374 -5.770 -3.136
3.246 -4.175 10.569
Al Er Pt
6 6 6
direct
0.750 0.004 0.916 Al
0.750 0.147 0.543 Al
0.250 0.853 0.457 Al
0.250 0.360 0.204 Al
0.250 0.996 0.084 Al
0.750 0.640 0.796 Al
0.750 0.528 0.375 Er
0.750 0.653 0.082 Er
0.250 0.347 0.918 Er
0.250 0.472 0.625 Er
0.750 0.031 0.291 Er
0.250 0.969 0.709 Er
0.250 0.768 0.910 Pt
0.750 0.772 0.575 Pt
0.750 0.232 0.090 Pt
0.250 0.228 0.425 Pt
0.250 0.738 0.245 Pt
0.750 0.262 0.755 Pt

=====

PBE-GGA ErAl3Pt3, relaxed; space-group type = Pm-3n, No. 223
1.0
-0.451 0.875 6.687
5.481 -3.857 0.874
3.929 5.481 -0.452
Al Pt Er
6 6 2
direct
0.250 0.000 0.500 Al
0.000 0.500 0.750 Al
0.500 0.750 0.000 Al
0.500 0.250 0.000 Al
0.750 0.000 0.500 Al
0.000 0.500 0.250 Al
0.000 0.750 0.500 Pt
0.000 0.250 0.500 Pt
0.750 0.500 0.000 Pt
0.500 0.000 0.750 Pt
0.250 0.500 0.000 Pt
0.500 0.000 0.250 Pt
0.500 0.500 0.500 Er
0.000 0.000 0.000 Er

=====

Quick rundown of calculated total energy, same order as above: -5.945, -5.371 eV/atom
Quick rundown of energy relative to the elements, same order as above: -1.163, -0.526 eV/atom